Tb2Zn12Ga5: relaxed, GGA-PBE.

**Space-group type**: R-3m
**Raw total energy**: -2.27 eV/atom
**M_tot**: 0.0 μB per formula unit

Cell lengths 6.891, 6.891, 6.891 Å; angles 85.29, 85.29, 85.29 degrees
Sites, in units of the cell vectors:
Tb  0.668  0.668  0.668
Tb  0.332  0.332  0.332
Zn  0.318  0.682  0.000
Zn  0.682  0.000  0.318
Zn  0.000  0.318  0.682
Zn  0.682  0.318  0.000
Zn  0.318  0.000  0.682
Zn  0.000  0.682  0.318
Zn  0.350  0.350  0.823
Zn  0.350  0.823  0.350
Zn  0.823  0.350  0.350
Zn  0.650  0.177  0.650
Zn  0.650  0.650  0.177
Zn  0.177  0.650  0.650
Ga  0.000  0.000  0.500
Ga  0.000  0.500  0.000
Ga  0.500  0.000  0.000
Ga  0.901  0.901  0.901
Ga  0.099  0.099  0.099